Entry 1:
# HfTiB2 (GGA-PBE, optimized geometry)
data_HfTiB2
_space_group_name_H-M_alt 'P 1'
_space_group_IT_number 1
_cell_length_a 3.434
_cell_length_b 5.281
_cell_length_c 10.766
_cell_angle_alpha 90.00
_cell_angle_beta 90.00
_cell_angle_gamma 90.00
loop_
_space_group_symop_operation_xyz
'x,y,z'
loop_
_atom_site_label
_atom_site_fract_x
_atom_site_fract_y
_atom_site_fract_z
_atom_site_occupancy
Hf1 0.750 0.276 0.314 1
Hf2 0.250 0.724 0.686 1
Hf3 0.750 0.776 0.186 1
Hf4 0.250 0.224 0.814 1
Ti1 0.750 0.283 0.038 1
Ti2 0.250 0.717 0.962 1
Ti3 0.750 0.783 0.462 1
Ti4 0.250 0.217 0.538 1
B1 0.250 0.947 0.331 1
B2 0.750 0.053 0.669 1
B3 0.250 0.447 0.169 1
B4 0.750 0.553 0.831 1
B5 0.250 0.107 0.172 1
B6 0.750 0.893 0.828 1
B7 0.250 0.607 0.328 1
B8 0.750 0.393 0.672 1
# E_tot = -135.19 eV per cell
# ΔE to the lowest computed polymorph = 0.00 eV per formula unit
# Symmetry = Pnma (62)
# Energy of formation = -0.648 eV/atom
# Crystal system = orthorhombic

=====

Entry 2:
# SrAsPbO5 (GGA-PBE, optimized geometry)
data_SrAsPbO5
_space_group_name_H-M_alt 'P 1'
_space_group_IT_number 1
_cell_length_a 6.149
_cell_length_b 6.149
_cell_length_c 7.773
_cell_angle_alpha 102.16
_cell_angle_beta 102.16
_cell_angle_gamma 107.30
loop_
_space_group_symop_operation_xyz
'x,y,z'
loop_
_atom_site_label
_atom_site_fract_x
_atom_site_fract_y
_atom_site_fract_z
_atom_site_occupancy
Sr1 0.337 0.663 0.250 1
Sr2 0.663 0.337 0.750 1
As1 0.676 0.324 0.250 1
As2 0.324 0.676 0.750 1
Pb1 0.000 0.000 0.500 1
Pb2 0.000 0.000 0.000 1
O1 0.088 0.912 0.250 1
O2 0.912 0.088 0.750 1
O3 0.900 0.348 0.143 1
O4 0.100 0.652 0.857 1
O5 0.652 0.100 0.357 1
O6 0.348 0.900 0.643 1
O7 0.720 0.580 0.418 1
O8 0.280 0.420 0.582 1
O9 0.420 0.280 0.082 1
O10 0.580 0.720 0.918 1
# E_tot = -96.52 eV per cell
# Raw formation energy = -1.679 eV/atom
# Symmetry = C2/c (15)
# Crystal system = monoclinic

=====

Entry 3:
# Sb2PBr (GGA-PBE, optimized geometry)
data_Sb2PBr
_space_group_name_H-M_alt 'P 1'
_space_group_IT_number 1
_cell_length_a 3.526
_cell_length_b 3.526
_cell_length_c 9.083
_cell_angle_alpha 90.00
_cell_angle_beta 90.00
_cell_angle_gamma 117.59
loop_
_space_group_symop_operation_xyz
'x,y,z'
loop_
_atom_site_label
_atom_site_fract_x
_atom_site_fract_y
_atom_site_fract_z
_atom_site_occupancy
Br1 0.500 0.500 0.250 1
P1 0.500 0.500 0.750 1
Sb1 0.000 0.000 0.972 1
Sb2 0.000 0.000 0.528 1
# E_tot = -14.29 eV per cell
# ΔE to the lowest computed polymorph = 1.06 eV per formula unit
# Raw formation energy = 0.259 eV/atom
# Symmetry = Cmmm (65)
# Crystal system = orthorhombic

=====

Entry 4:
# Sr2CO (GGA-PBE, optimized geometry)
data_Sr2CO
_space_group_name_H-M_alt 'P 1'
_space_group_IT_number 1
_cell_length_a 4.643
_cell_length_b 4.643
_cell_length_c 4.643
_cell_angle_alpha 60.00
_cell_angle_beta 60.00
_cell_angle_gamma 60.00
loop_
_space_group_symop_operation_xyz
'x,y,z'
loop_
_atom_site_label
_atom_site_fract_x
_atom_site_fract_y
_atom_site_fract_z
_atom_site_occupancy
Sr1 0.250 0.250 0.250 1
Sr2 0.750 0.750 0.750 1
C1 0.000 0.000 0.000 1
O1 0.500 0.500 0.500 1
# E_tot = -18.66 eV per cell
# ΔE to the lowest computed polymorph = 1.08 eV per formula unit
# Raw formation energy = -0.278 eV/atom
# Symmetry = Fm-3m (225)
# Crystal system = cubic

=====

Entry 5:
# ThZrPaZn (GGA-PBE, optimized geometry)
data_ThZrPaZn
_space_group_name_H-M_alt 'P 1'
_space_group_IT_number 1
_cell_length_a 5.129
_cell_length_b 5.129
_cell_length_c 5.129
_cell_angle_alpha 60.00
_cell_angle_beta 60.00
_cell_angle_gamma 60.00
loop_
_space_group_symop_operation_xyz
'x,y,z'
loop_
_atom_site_label
_atom_site_fract_x
_atom_site_fract_y
_atom_site_fract_z
_atom_site_occupancy
Zn1 0.750 0.750 0.750 1
Pa1 0.250 0.250 0.250 1
Zr1 0.000 0.000 0.000 1
Th1 0.500 0.500 0.500 1
# E_tot = -26.04 eV per cell
# Symmetry = F-43m (216)
# Energy of formation = 0.175 eV/atom
# Crystal system = cubic

=====

Entry 6:
# ZnSnHg3 (GGA-PBE, optimized geometry)
data_ZnSnHg3
_space_group_name_H-M_alt 'P 1'
_space_group_IT_number 1
_cell_length_a 5.176
_cell_length_b 5.176
_cell_length_c 5.176
_cell_angle_alpha 90.00
_cell_angle_beta 90.00
_cell_angle_gamma 90.00
loop_
_space_group_symop_operation_xyz
'x,y,z'
loop_
_atom_site_label
_atom_site_fract_x
_atom_site_fract_y
_atom_site_fract_z
_atom_site_occupancy
Zn1 0.000 0.000 0.000 1
Hg1 0.000 0.500 0.000 1
Hg2 0.000 0.000 0.500 1
Hg3 0.500 0.000 0.000 1
Sn1 0.500 0.500 0.500 1
# E_tot = -4.84 eV per cell
# ΔE to the lowest computed polymorph = 0.00 eV per formula unit
# Symmetry = Pm-3m (221)
# Energy of formation = 0.269 eV/atom
# Crystal system = cubic

=====

Entry 7:
# Y2AsSe (GGA-PBE, optimized geometry)
data_Y2AsSe
_space_group_name_H-M_alt 'P 1'
_space_group_IT_number 1
_cell_length_a 5.058
_cell_length_b 5.058
_cell_length_c 5.058
_cell_angle_alpha 60.00
_cell_angle_beta 60.00
_cell_angle_gamma 60.00
loop_
_space_group_symop_operation_xyz
'x,y,z'
loop_
_atom_site_label
_atom_site_fract_x
_atom_site_fract_y
_atom_site_fract_z
_atom_site_occupancy
Y1 0.250 0.250 0.250 1
Y2 0.750 0.750 0.750 1
As1 0.000 0.000 0.000 1
Se1 0.500 0.500 0.500 1
# E_tot = -26.31 eV per cell
# ΔE to the lowest computed polymorph = 1.65 eV per formula unit
# Raw formation energy = -1.312 eV/atom
# Symmetry = Fm-3m (225)
# Crystal system = cubic

=====

Entry 8:
# KCdI2N (GGA-PBE, optimized geometry)
data_KCdI2N
_space_group_name_H-M_alt 'P 1'
_space_group_IT_number 1
_cell_length_a 6.567
_cell_length_b 6.567
_cell_length_c 5.216
_cell_angle_alpha 90.00
_cell_angle_beta 90.00
_cell_angle_gamma 90.00
loop_
_space_group_symop_operation_xyz
'x,y,z'
loop_
_atom_site_label
_atom_site_fract_x
_atom_site_fract_y
_atom_site_fract_z
_atom_site_occupancy
I1 0.000 0.500 0.000 1
I2 0.500 0.000 0.000 1
K1 0.000 0.000 0.000 1
N1 0.000 0.000 0.500 1
Cd1 0.500 0.500 0.500 1
# E_tot = -9.92 eV per cell
# ΔE to the lowest computed polymorph = 3.64 eV per formula unit
# Raw formation energy = 0.704 eV/atom
# Symmetry = P4/mmm (123)
# Crystal system = tetragonal

=====

Entry 9:
# TlGaO2 (GGA-PBE, optimized geometry)
data_TlGaO2
_space_group_name_H-M_alt 'P 1'
_space_group_IT_number 1
_cell_length_a 3.484
_cell_length_b 5.525
_cell_length_c 8.597
_cell_angle_alpha 108.98
_cell_angle_beta 90.29
_cell_angle_gamma 71.52
loop_
_space_group_symop_operation_xyz
'x,y,z'
loop_
_atom_site_label
_atom_site_fract_x
_atom_site_fract_y
_atom_site_fract_z
_atom_site_occupancy
Tl1 0.065 0.017 0.163 1
Tl2 0.244 0.650 0.437 1
Ga1 0.525 0.094 0.782 1
Ga2 0.788 0.567 0.818 1
O1 0.323 0.498 0.899 1
O2 0.720 0.702 0.639 1
O3 0.989 0.163 0.700 1
O4 0.593 0.959 0.961 1
# E_tot = -41.72 eV per cell
# ΔE to the lowest computed polymorph = 0.07 eV per formula unit
# Raw formation energy = -1.387 eV/atom
# Symmetry = P1 (1)
# Crystal system = triclinic

=====

Entry 10:
# K12H3O5 (GGA-PBE, optimized geometry)
data_K12H3O5
_space_group_name_H-M_alt 'P 1'
_space_group_IT_number 1
_cell_length_a 14.272
_cell_length_b 14.272
_cell_length_c 14.272
_cell_angle_alpha 109.47
_cell_angle_beta 109.47
_cell_angle_gamma 109.47
loop_
_space_group_symop_operation_xyz
'x,y,z'
loop_
_atom_site_label
_atom_site_fract_x
_atom_site_fract_y
_atom_site_fract_z
_atom_site_occupancy
H1 0.750 0.375 0.125 1
H2 0.875 0.750 0.125 1
H3 0.375 0.750 0.625 1
H4 0.250 0.125 0.375 1
H5 0.875 0.125 0.250 1
H6 0.375 0.625 0.250 1
H7 0.625 0.375 0.750 1
H8 0.125 0.875 0.750 1
H9 0.750 0.875 0.625 1
H10 0.625 0.250 0.375 1
H11 0.125 0.250 0.875 1
H12 0.250 0.625 0.875 1
O1 0.125 0.375 0.250 1
O2 0.000 0.500 0.000 1
O3 0.000 0.000 0.000 1
O4 0.375 0.250 0.125 1
O5 0.500 0.000 0.500 1
O6 0.500 0.500 0.000 1
O7 0.125 0.750 0.375 1
O8 0.750 0.125 0.875 1
O9 0.750 0.625 0.375 1
O10 0.375 0.125 0.750 1
O11 0.625 0.875 0.250 1
O12 0.500 0.500 0.500 1
O13 0.500 0.000 0.000 1
O14 0.000 0.000 0.500 1
O15 0.250 0.375 0.625 1
O16 0.250 0.875 0.125 1
O17 0.000 0.500 0.500 1
O18 0.875 0.250 0.625 1
O19 0.625 0.750 0.875 1
O20 0.875 0.625 0.750 1
K1 0.703 0.121 0.025 1
K2 0.322 0.525 0.404 1
K3 0.975 0.379 0.297 1
K4 0.525 0.203 0.121 1
K5 0.582 0.703 0.678 1
K6 0.975 0.596 0.178 1
K7 0.322 0.797 0.418 1
K8 0.096 0.918 0.121 1
K9 0.596 0.975 0.678 1
K10 0.703 0.582 0.178 1
K11 0.797 0.475 0.379 1
K12 0.822 0.904 0.025 1
K13 0.121 0.703 0.525 1
K14 0.379 0.404 0.082 1
K15 0.082 0.904 0.379 1
K16 0.418 0.121 0.596 1
K17 0.082 0.178 0.203 1
K18 0.475 0.678 0.096 1
K19 0.822 0.918 0.297 1
K20 0.121 0.418 0.096 1
K21 0.379 0.975 0.797 1
K22 0.596 0.621 0.418 1
K23 0.904 0.822 0.525 1
K24 0.797 0.322 0.918 1
K25 0.404 0.379 0.582 1
K26 0.096 0.178 0.475 1
K27 0.203 0.678 0.082 1
K28 0.178 0.082 0.703 1
K29 0.621 0.025 0.203 1
K30 0.879 0.582 0.904 1
K31 0.525 0.322 0.904 1
K32 0.582 0.879 0.404 1
K33 0.918 0.822 0.797 1
K34 0.918 0.096 0.621 1
K35 0.879 0.297 0.475 1
K36 0.178 0.096 0.975 1
K37 0.621 0.596 0.918 1
K38 0.404 0.025 0.322 1
K39 0.297 0.418 0.822 1
K40 0.203 0.525 0.621 1
K41 0.904 0.082 0.879 1
K42 0.678 0.203 0.582 1
K43 0.475 0.797 0.879 1
K44 0.025 0.404 0.822 1
K45 0.418 0.297 0.322 1
K46 0.025 0.621 0.703 1
K47 0.678 0.475 0.596 1
K48 0.297 0.879 0.975 1
# E_tot = -248.84 eV per cell
# Symmetry = Ia-3d (230)
# Crystal system = cubic

=====

Entry 11:
# NaSrRe2O8 (GGA-PBE, optimized geometry)
data_NaSrRe2O8
_space_group_name_H-M_alt 'P 1'
_space_group_IT_number 1
_cell_length_a 6.452
_cell_length_b 6.452
_cell_length_c 6.452
_cell_angle_alpha 106.78
_cell_angle_beta 106.78
_cell_angle_gamma 114.99
loop_
_space_group_symop_operation_xyz
'x,y,z'
loop_
_atom_site_label
_atom_site_fract_x
_atom_site_fract_y
_atom_site_fract_z
_atom_site_occupancy
Na1 0.000 0.000 0.000 1
Sr1 0.250 0.750 0.500 1
Re1 0.750 0.250 0.500 1
Re2 0.500 0.500 0.000 1
O1 0.410 0.093 0.317 1
O2 0.347 0.533 0.186 1
O3 0.347 0.162 0.814 1
O4 0.776 0.093 0.683 1
O5 0.838 0.653 0.186 1
O6 0.907 0.224 0.317 1
O7 0.907 0.590 0.683 1
O8 0.467 0.653 0.814 1
# E_tot = -90.87 eV per cell
# Raw formation energy = -1.942 eV/atom
# Symmetry = I-4m2 (119)
# Crystal system = tetragonal

=====

Entry 12:
# ZrSc2Co2 (GGA-PBE, optimized geometry)
data_ZrSc2Co2
_space_group_name_H-M_alt 'P 1'
_space_group_IT_number 1
_cell_length_a 6.490
_cell_length_b 6.490
_cell_length_c 4.247
_cell_angle_alpha 90.00
_cell_angle_beta 90.00
_cell_angle_gamma 90.00
loop_
_space_group_symop_operation_xyz
'x,y,z'
loop_
_atom_site_label
_atom_site_fract_x
_atom_site_fract_y
_atom_site_fract_z
_atom_site_occupancy
Sc1 0.176 0.676 0.500 1
Sc2 0.676 0.824 0.500 1
Sc3 0.824 0.324 0.500 1
Sc4 0.324 0.176 0.500 1
Co1 0.380 0.880 0.000 1
Co2 0.880 0.620 0.000 1
Co3 0.620 0.120 0.000 1
Co4 0.120 0.380 0.000 1
Zr1 0.000 0.000 0.000 1
Zr2 0.500 0.500 0.000 1
# E_tot = -73.26 eV per cell
# ΔE to the lowest computed polymorph = 0.09 eV per formula unit
# Symmetry = P4/mbm (127)
# Energy of formation = -0.242 eV/atom
# Crystal system = tetragonal